## ErCoNi6 (GGA-PBE)

Data for a relaxed ErCoNi6 crystal.

Formation energy ... 0.072 eV/atom
Calculated density ... 8651 kg/m3
Electronic total energy ... -5.722 eV/atom

Unit cell a=3.699 b=3.699 c=8.114 alpha=90.00 beta=90.00 gamma=90.00
Fractional coordinates of all 8 atoms:
Er 0.000 0.000 0.000
Co 0.000 0.000 0.500
Ni 0.000 0.500 0.325
Ni 0.000 0.500 0.675
Ni 0.500 0.000 0.325
Ni 0.500 0.000 0.675
Ni 0.500 0.500 0.140
Ni 0.500 0.500 0.860

***

## LiVBr6 (GGA-PBE)

Data for a relaxed LiVBr6 crystal.

Calculated density ... 3637 kg/m3
ΔE to the lowest computed polymorph ... 0.014 eV/atom
Electronic total energy ... -3.419 eV/atom
ΔE_f (raw) ... -0.785 eV per atom

Unit cell a=6.906 b=6.906 c=6.632 alpha=101.00 beta=101.00 gamma=122.37
Fractional coordinates of all 8 atoms:
Li 0.000 0.000 0.000
V 0.500 0.500 0.500
Br 0.118 0.410 0.261
Br 0.281 0.281 0.716
Br 0.410 0.118 0.261
Br 0.590 0.882 0.739
Br 0.719 0.719 0.284
Br 0.882 0.590 0.739

***

## TbEu2Cu (GGA-PBE)

Data for a relaxed TbEu2Cu crystal.

Formation energy ... 0.031 eV/atom
Calculated density ... 7238 kg/m3
ΔE to the lowest computed polymorph ... 0.000 eV/atom
Electronic total energy ... -7.287 eV/atom

Unit cell a=3.656 b=3.656 c=9.035 alpha=90.00 beta=90.00 gamma=90.00
Fractional coordinates of all 4 atoms:
Tb 0.000 0.000 0.000
Eu 0.500 0.500 0.304
Eu 0.500 0.500 0.696
Cu 0.000 0.000 0.500

***

## Li2RuO2 (GGA-PBE)

Data for a relaxed Li2RuO2 crystal.

Calculated density ... 5240 kg/m3
ΔE to the lowest computed polymorph ... 0.455 eV/atom
Electronic total energy ... -5.301 eV/atom
ΔE_f (raw) ... -0.697 eV per atom

Unit cell a=5.493 b=5.493 c=5.493 alpha=147.92 beta=147.92 gamma=46.00
Fractional coordinates of all 5 atoms:
Li 0.250 0.750 0.500
Li 0.750 0.250 0.500
Ru 0.000 0.000 0.000
O 0.365 0.365 0.000
O 0.635 0.635 0.000

***

## In4GaAg5 (GGA-PBE)

Data for a relaxed In4GaAg5 crystal.

Formation energy ... 0.055 eV/atom
Calculated density ... 7827 kg/m3
Electronic total energy ... -2.768 eV/atom

Unit cell a=5.031 b=6.650 c=6.958 alpha=76.90 beta=89.67 gamma=88.45
Fractional coordinates of all 10 atoms:
In 0.000 0.000 0.000
In 0.005 0.422 0.123
In 0.480 0.036 0.346
In 0.486 0.459 0.467
Ga 0.742 0.725 0.737
Ag 0.242 0.734 0.731
Ag 0.501 0.107 0.779
Ag 0.502 0.733 0.098
Ag 0.979 0.725 0.369
Ag 0.989 0.352 0.690

***

## Pa2AlO6 (GGA-PBE)

Data for a relaxed Pa2AlO6 crystal.

Calculated density ... 8205 kg/m3
Electronic total energy ... -9.130 eV/atom
ΔE_f (raw) ... -3.299 eV per atom

Unit cell a=5.326 b=5.753 c=8.962 alpha=90.00 beta=120.40 gamma=90.00
Fractional coordinates of all 18 atoms:
Pa 0.198 0.088 0.236
Pa 0.198 0.412 0.736
Pa 0.802 0.588 0.264
Pa 0.802 0.912 0.764
Al 0.500 0.000 0.000
Al 0.500 0.500 0.500
O 0.157 0.162 0.949
O 0.157 0.338 0.449
O 0.247 0.718 0.900
O 0.247 0.782 0.400
O 0.444 0.081 0.782
O 0.444 0.419 0.282
O 0.556 0.581 0.718
O 0.556 0.919 0.218
O 0.753 0.218 0.600
O 0.753 0.282 0.100
O 0.843 0.662 0.551
O 0.843 0.838 0.051

***

## La4CI2 (GGA-PBE)

Data for a relaxed La4CI2 crystal.

Calculated density ... 6069 kg/m3
Electronic total energy ... -5.028 eV/atom
ΔE_f (raw) ... -0.452 eV per atom

Unit cell a=8.720 b=8.720 c=8.720 alpha=144.29 beta=144.29 gamma=51.40
Fractional coordinates of all 7 atoms:
La 0.000 0.500 0.500
La 0.160 0.160 0.000
La 0.500 0.000 0.500
La 0.840 0.840 0.000
C 0.000 0.000 0.000
I 0.373 0.373 0.000
I 0.627 0.627 0.000

***

## CePaGa2 (GGA-PBE)

Data for a relaxed CePaGa2 crystal.

Formation energy ... -0.351 eV/atom
Calculated density ... 9709 kg/m3
ΔE to the lowest computed polymorph ... 0.027 eV/atom
Electronic total energy ... -5.722 eV/atom

Unit cell a=4.498 b=4.498 c=4.317 alpha=90.00 beta=90.00 gamma=90.00
Fractional coordinates of all 4 atoms:
Ce 0.000 0.000 0.000
Pa 0.500 0.500 0.000
Ga 0.000 0.500 0.500
Ga 0.500 0.000 0.500

***

## CaTe3Pb2 (GGA-PBE)

Data for a relaxed CaTe3Pb2 crystal.

Calculated density ... 6711 kg/m3
Electronic total energy ... -3.951 eV/atom
ΔE_f (raw) ... -0.811 eV per atom

Unit cell a=7.990 b=7.990 c=7.990 alpha=146.55 beta=131.96 gamma=59.80
Fractional coordinates of all 6 atoms:
Ca 0.000 0.000 0.000
Te 0.162 0.662 0.500
Te 0.500 0.000 0.500
Te 0.838 0.338 0.500
Pb 0.333 0.333 0.000
Pb 0.667 0.667 0.000

***

## K7Sb6 (GGA-PBE)

Data for a relaxed K7Sb6 crystal.

Calculated density ... 2930 kg/m3
Electronic total energy ... -2.506 eV/atom
ΔE_f (raw) ... -0.013 eV per atom

Unit cell a=14.689 b=14.689 c=14.689 alpha=26.82 beta=26.82 gamma=26.82
Fractional coordinates of all 13 atoms:
K 0.000 0.000 0.000
K 0.070 0.070 0.566
K 0.070 0.566 0.070
K 0.434 0.930 0.930
K 0.566 0.070 0.070
K 0.930 0.434 0.930
K 0.930 0.930 0.434
Sb 0.166 0.166 0.166
Sb 0.340 0.340 0.340
Sb 0.405 0.405 0.405
Sb 0.595 0.595 0.595
Sb 0.660 0.660 0.660
Sb 0.834 0.834 0.834

***

## P2AuSO (GGA-PBE)

Data for a relaxed P2AuSO crystal.

Calculated density ... 6832 kg/m3
ΔE to the lowest computed polymorph ... 0.000 eV/atom
Electronic total energy ... -4.170 eV/atom
ΔE_f (raw) ... 0.466 eV per atom

Unit cell a=4.712 b=4.712 c=3.361 alpha=90.00 beta=90.00 gamma=90.00
Fractional coordinates of all 5 atoms:
P 0.000 0.500 0.000
P 0.500 0.000 0.000
Au 0.000 0.000 0.500
S 0.500 0.500 0.000
O 0.500 0.500 0.500

***

## Er2ThZrSc4 (GGA-PBE)

Data for a relaxed Er2ThZrSc4 crystal.

Formation energy ... 0.051 eV/atom
Calculated density ... 6561 kg/m3
Electronic total energy ... -6.251 eV/atom

Unit cell a=4.796 b=4.796 c=9.218 alpha=90.00 beta=90.00 gamma=90.00
Fractional coordinates of all 8 atoms:
Er 0.000 0.000 0.000
Er 0.500 0.500 0.500
Th 0.000 0.000 0.500
Zr 0.500 0.500 0.000
Sc 0.000 0.500 0.242
Sc 0.000 0.500 0.758
Sc 0.500 0.000 0.242
Sc 0.500 0.000 0.758